Record 1
CoIrPdPb: relaxed, PBE.

Cell and atoms, written as POSCAR:
```
CoIrPdPb
1.0
0.000 3.189 3.189
3.189 0.000 3.189
3.189 3.189 0.000
Pb Co Ir Pd
1 1 1 1
direct
0.000 0.000 0.000
0.750 0.750 0.750
0.250 0.250 0.250
0.500 0.500 0.500
```

Properties
Calculated density: 14.46 g/cm3
ΔE to the lowest computed polymorph: 0.00 kJ/mol of atoms


Record 2
MgTaAlNi: relaxed, PBE.

Cell and atoms, written as POSCAR:
```
MgTaAlNi
1.0
2.018 1.133 3.803
-2.013 -0.754 3.899
1.544 -3.161 2.728
Ta Al Mg Ni
1 1 1 1
direct
0.250 0.250 0.250
0.000 0.000 0.000
0.500 0.500 0.500
0.750 0.750 0.750
```

Properties
Calculated density: 7.74 g/cm3
ΔE to the lowest computed polymorph: 7.33 kJ/mol of atoms


Record 3
LiGaCoMo: relaxed, PBE.

Cell and atoms, written as POSCAR:
```
LiGaCoMo
1.0
3.578 0.251 2.203
0.540 -2.397 3.418
2.748 -3.188 -0.078
Mo Co Ga Li
1 1 1 1
direct
0.250 0.250 0.250
0.750 0.750 0.750
0.000 0.000 0.000
0.500 0.500 0.500
```

Properties
Calculated density: 7.29 g/cm3
ΔE to the lowest computed polymorph: 27.85 kJ/mol of atoms


Record 4
ScCoHgBi: relaxed, PBE.

Cell and atoms, written as POSCAR:
```
ScCoHgBi
1.0
0.000 3.455 3.455
3.455 0.000 3.455
3.455 3.455 0.000
Hg Co Sc Bi
1 1 1 1
direct
0.250 0.250 0.250
0.750 0.750 0.750
0.500 0.500 0.500
0.000 0.000 0.000
```

Properties
Calculated density: 10.34 g/cm3
ΔE to the lowest computed polymorph: 8.65 kJ/mol of atoms


Record 5
NbInAgTe2Se: relaxed, PBE.

Cell and atoms, written as POSCAR:
```
NbInAgTe2Se
1.0
-1.816 4.477 6.006
0.471 -6.968 -3.260
9.626 -1.091 3.723
Te Nb Ag Se In
4 2 2 2 2
direct
0.140 0.860 0.535
0.140 0.860 0.965
0.860 0.140 0.035
0.860 0.140 0.465
0.500 0.500 0.000
0.500 0.500 0.500
0.037 0.963 0.750
0.963 0.037 0.250
0.577 0.423 0.250
0.423 0.577 0.750
0.244 0.756 0.250
0.756 0.244 0.750
```

Properties
Calculated density: 7.07 g/cm3
Final energy: -4.45 eV/atom


Record 6
TeWCl9: relaxed, PBE.

Cell and atoms, written as POSCAR:
```
TeWCl9
1.0
-1.020 -1.847 -11.088
-1.811 -8.138 4.102
-5.576 2.461 2.062
Cl W Te
18 2 2
direct
0.170 0.609 0.084
0.373 0.365 0.277
0.627 0.635 0.723
0.830 0.391 0.916
0.279 0.961 0.997
0.605 0.148 0.375
0.940 0.805 0.055
0.912 0.304 0.418
0.164 0.117 0.478
0.481 0.756 0.133
0.060 0.195 0.945
0.299 0.496 0.731
0.836 0.883 0.522
0.721 0.039 0.003
0.395 0.852 0.625
0.519 0.244 0.867
0.088 0.696 0.582
0.701 0.504 0.269
0.707 0.260 0.140
0.293 0.740 0.860
0.836 0.667 0.707
0.164 0.333 0.293
```

Properties
Calculated density: 3.40 g/cm3
Final energy: -3.68 eV/atom